[1]
A plane-wave DFT calculation with GGA-PBE was carried out for a relaxed Hf3BiCN crystal.

```
data_Hf3BiCN
_chemical_formula_sum 'Hf6 Bi2 C2 N2'
_cell_length_a 3.3283
_cell_length_b 3.3283
_cell_length_c 19.8500
_cell_angle_alpha 90.00
_cell_angle_beta 90.00
_cell_angle_gamma 120.00
_symmetry_space_group_name_H-M 'P -3 m 1'
_symmetry_Int_Tables_number 164
_symmetry_space_group_name_Hall '-P 3 2"'
loop_
_atom_site_label
_atom_site_type_symbol
_atom_site_fract_x
_atom_site_fract_y
_atom_site_fract_z
Hf1 Hf 0.0000 0.0000 0.0000
Hf2 Hf 0.0000 0.0000 0.5000
Hf3 Hf 0.3333 0.6667 0.1261
Hf4 Hf 0.3333 0.6667 0.3732
Bi1 Bi 0.0000 0.0000 0.2485
C1 C 0.3333 0.6667 0.5692
N1 N 0.3333 0.6667 0.9363
```

Output
- Magnetization: 0.000 μB/atom
- DFT total energy: -9.469 eV per atom

[2]
A plane-wave DFT calculation with GGA-PBE was carried out for a relaxed Sc4AlZnN2 crystal.

```
data_Sc4AlZnN2
_chemical_formula_sum 'Sc4 Al1 Zn1 N2'
_cell_length_a 3.2058
_cell_length_b 3.2058
_cell_length_c 14.3274
_cell_angle_alpha 90.00
_cell_angle_beta 90.00
_cell_angle_gamma 120.00
_symmetry_space_group_name_H-M 'P -6 m 2'
_symmetry_Int_Tables_number 187
_symmetry_space_group_name_Hall 'P -6 2'
loop_
_atom_site_label
_atom_site_type_symbol
_atom_site_fract_x
_atom_site_fract_y
_atom_site_fract_z
Sc1 Sc 0.0000 0.0000 0.1606
Sc2 Sc 0.3333 0.6667 0.3332
Al1 Al 0.0000 0.0000 0.5000
Zn1 Zn 0.3333 0.6667 0.0000
N1 N 0.6667 0.3333 0.2483
```

Output
- Magnetization: 0.000 μB/atom
- DFT total energy: -6.947 eV per atom

[3]
A plane-wave DFT calculation with GGA-PBE was carried out for a relaxed Fe3Ge crystal.

```
data_Fe3Ge
_chemical_formula_sum 'Fe3 Ge1'
_cell_length_a 3.6282
_cell_length_b 3.6282
_cell_length_c 3.6282
_cell_angle_alpha 90.00
_cell_angle_beta 90.00
_cell_angle_gamma 90.00
_symmetry_space_group_name_H-M 'P m -3 m'
_symmetry_Int_Tables_number 221
_symmetry_space_group_name_Hall '-P 4 2 3'
loop_
_atom_site_label
_atom_site_type_symbol
_atom_site_fract_x
_atom_site_fract_y
_atom_site_fract_z
Fe1 Fe 0.0000 0.0000 0.5000
Ge1 Ge 0.5000 0.5000 0.5000
```

Output
- Magnetization: 1.591 μB/atom
- DFT total energy: -7.491 eV per atom

[4]
A plane-wave DFT calculation with GGA-PBE was carried out for a relaxed MgRe crystal.

```
data_MgRe
_chemical_formula_sum 'Mg6 Re6'
_cell_length_a 5.3931
_cell_length_b 4.5813
_cell_length_c 7.8723
_cell_angle_alpha 90.00
_cell_angle_beta 100.03
_cell_angle_gamma 90.00
_symmetry_space_group_name_H-M 'P 1 21/m 1'
_symmetry_Int_Tables_number 11
_symmetry_space_group_name_Hall '-P 2yb'
loop_
_atom_site_label
_atom_site_type_symbol
_atom_site_fract_x
_atom_site_fract_y
_atom_site_fract_z
Mg1 Mg 0.0225 0.2500 0.1025
Mg2 Mg 0.1412 0.7500 0.5648
Mg3 Mg 0.3610 0.2500 0.4353
Re1 Re 0.1914 0.2500 0.7813
Re2 Re 0.2915 0.7500 0.2233
Re3 Re 0.4793 0.7500 0.9035
```

Output
- Magnetization: 0.001 μB/atom
- DFT total energy: -6.640 eV per atom
- Offset from the most stable computed form: 274 meV per atom